(1)
In2HgPd: optimized geometry, GGA-PBE.

Computed properties:
E_form: -2.6 kJ/mol of atoms
electronic total energy: -2.770 eV per atom
symmetry: I-42d, No. 122
volume: 23.46 Å³/atom
theoretical density: 9.50 g cm⁻³

a = 4.4391 Å, b = 4.4391 Å, c = 10.0283 Å
α = 77.21°, β = 77.21°, γ = 90.00°
With the nearest neighbours (Å) after each atom.
Sites, in units of the cell vectors:
Hg 0.0000 0.0000 0.0000  4 In 2.89, 4 Pd 3.14
Hg 0.7500 0.2500 0.5000  4 In 2.89, 4 Pd 3.14
Pd 0.5000 0.5000 0.0000  4 In 2.81, 4 Hg 3.14
Pd 0.2500 0.7500 0.5000  4 In 2.81, 4 Hg 3.14
In 0.6021 0.1250 0.2500  2 Pd 2.81, 2 Hg 2.89, 2 In 3.00
In 0.1479 0.6250 0.2500  2 Pd 2.81, 2 Hg 2.89, 2 In 3.00
In 0.3750 0.3979 0.7500  2 Pd 2.81, 2 Hg 2.89, 2 In 3.00
In 0.8750 0.8521 0.7500  2 Pd 2.81, 2 Hg 2.89, 2 In 3.00

(2)
In3HgPd12: optimized geometry, GGA-PBE.

Computed properties:
E_form: -33.5 kJ/mol of atoms
electronic total energy: -4.775 eV per atom
symmetry: P4/mmm, No. 123
volume: 16.50 Å³/atom
theoretical density: 11.46 g cm⁻³

a = 4.0493 Å, b = 4.0493 Å, c = 16.1053 Å
α = 90.00°, β = 90.00°, γ = 90.00°
With the nearest neighbours (Å) after each atom.
Sites, in units of the cell vectors:
In 0.0000 0.0000 0.2502  12 Pd 2.84-2.86
In 0.0000 0.0000 0.5000  12 Pd 2.85-2.86
In 0.0000 0.0000 0.7498  12 Pd 2.84-2.86
Hg 0.0000 0.0000 0.0000  12 Pd 2.86-2.88
Pd 0.5000 0.5000 0.0000  4 Hg 2.86, 8 Pd 2.88
Pd 0.5000 0.5000 0.2511  8 Pd 2.84, 4 In 2.86
Pd 0.5000 0.5000 0.5000  8 Pd 2.85, 4 In 2.86
Pd 0.5000 0.5000 0.7489  8 Pd 2.84, 4 In 2.86
Pd 0.5000 0.0000 0.1270  2 In 2.84, 8 Pd 2.84-2.88, 2 Hg 2.88
Pd 0.5000 0.0000 0.3751  8 Pd 2.84-2.86, 4 In 2.85
Pd 0.5000 0.0000 0.6249  8 Pd 2.84-2.86, 4 In 2.85
Pd 0.5000 0.0000 0.8730  2 In 2.84, 8 Pd 2.84-2.88, 2 Hg 2.88
Pd 0.0000 0.5000 0.1270  2 In 2.84, 8 Pd 2.84-2.88, 2 Hg 2.88
Pd 0.0000 0.5000 0.3751  8 Pd 2.84-2.86, 4 In 2.85
Pd 0.0000 0.5000 0.6249  8 Pd 2.84-2.86, 4 In 2.85
Pd 0.0000 0.5000 0.8730  2 In 2.84, 8 Pd 2.84-2.88, 2 Hg 2.88

(3)
In2HgPd: optimized geometry, GGA-PBE.

Computed properties:
E_form: -13.3 kJ/mol of atoms
electronic total energy: -2.880 eV per atom
symmetry: R3m, No. 160
volume: 23.99 Å³/atom
theoretical density: 9.29 g cm⁻³

a = 3.8481 Å, b = 3.8481 Å, c = 7.8053 Å
α = 75.73°, β = 75.73°, γ = 60.00°
With the nearest neighbours (Å) after each atom.
Sites, in units of the cell vectors:
In 0.0725 0.0725 0.7826  3 Pd 2.76, 3 Hg 3.07
In 0.2618 0.2618 0.2146  3 Pd 2.73
Hg 0.4999 0.4999 0.5003  6 In 3.07-3.08
Pd 0.6658 0.6658 0.0025  6 In 2.73-2.76

(4)
InHgPd2: optimized geometry, GGA-PBE.

Computed properties:
E_form: -3.2 kJ/mol of atoms
electronic total energy: -3.389 eV per atom
symmetry: I-42d, No. 122
volume: 20.39 Å³/atom
theoretical density: 10.76 g cm⁻³

a = 4.1668 Å, b = 4.1668 Å, c = 9.8457 Å
α = 77.78°, β = 77.78°, γ = 90.00°
With the nearest neighbours (Å) after each atom.
Sites, in units of the cell vectors:
Hg 0.0000 0.0000 0.0000  4 Pd 2.78, 4 In 2.95
Hg 0.7500 0.2500 0.5000  4 Pd 2.78, 4 In 2.95
Pd 0.6198 0.1250 0.2500  2 In 2.76, 2 Hg 2.78, 4 Pd 2.92-2.98
Pd 0.1302 0.6250 0.2500  2 In 2.76, 2 Hg 2.78, 4 Pd 2.92-2.98
Pd 0.3750 0.3802 0.7500  2 In 2.76, 2 Hg 2.78, 4 Pd 2.92-2.98
Pd 0.8750 0.8698 0.7500  2 In 2.76, 2 Hg 2.78, 4 Pd 2.92-2.98
In 0.5000 0.5000 0.0000  4 Pd 2.76, 4 Hg 2.95
In 0.2500 0.7500 0.5000  4 Pd 2.76, 4 Hg 2.95

(5)
In2Hg2Pd7: optimized geometry, GGA-PBE.

Computed properties:
E_form: -1.0 kJ/mol of atoms
electronic total energy: -3.867 eV per atom
symmetry: Cmmm, No. 65
volume: 20.47 Å³/atom
theoretical density: 10.15 g cm⁻³

a = 6.0259 Å, b = 6.2996 Å, c = 6.0259 Å
α = 90.01°, β = 100.12°, γ = 89.99°
With the nearest neighbours (Å) after each atom.
Sites, in units of the cell vectors:
In 0.7091 0.0001 0.2909  7 Pd 2.63-2.69
In 0.2909 0.9999 0.7091  7 Pd 2.63-2.69
Hg 0.8189 0.5000 0.8189  6 Pd 2.76-2.81, 1 Hg 2.80
Hg 0.1811 0.5000 0.1811  6 Pd 2.76-2.81, 1 Hg 2.80
Pd 0.0001 0.2770 0.4999  2 In 2.63, 2 Hg 2.76, 1 Pd 2.81
Pd 0.4999 0.7230 0.0001  2 In 2.63, 2 Hg 2.76, 1 Pd 2.81
Pd 0.9999 0.7230 0.5001  2 In 2.63, 2 Hg 2.76, 1 Pd 2.81
Pd 0.5001 0.2770 0.9999  2 In 2.63, 2 Hg 2.76, 1 Pd 2.81
Pd 0.0000 0.0000 0.0000  2 In 2.69
Pd 0.5002 0.7141 0.4998  2 In 2.64, 1 Pd 2.70, 2 Hg 2.81
Pd 0.4998 0.2859 0.5002  2 In 2.64, 1 Pd 2.70, 2 Hg 2.81

(6)
In5Hg2Pd12: optimized geometry, GGA-PBE.

Computed properties:
E_form: -21.5 kJ/mol of atoms
electronic total energy: -4.255 eV per atom
symmetry: C2/m, No. 12
volume: 19.65 Å³/atom
theoretical density: 10.02 g cm⁻³

a = 5.6069 Å, b = 8.1668 Å, c = 9.1256 Å
α = 106.84°, β = 90.00°, γ = 110.08°
With the nearest neighbours (Å) after each atom.
Sites, in units of the cell vectors:
In 0.3122 0.6243 0.6337  9 Pd 2.68-2.97
In 0.3519 0.7039 0.1425  7 Pd 2.65-2.74
In 0.0000 0.0000 0.5000  6 Pd 2.70-2.82
In 0.6481 0.2961 0.8575  7 Pd 2.65-2.74
In 0.6878 0.3757 0.3663  9 Pd 2.68-2.97
Hg 0.7540 0.0000 0.0000  2 Hg 2.76-2.85, 2 Pd 2.81
Hg 0.2460 0.0000 0.0000  2 Hg 2.76-2.85, 2 Pd 2.81
Pd 0.1205 0.2411 0.3211  4 Pd 2.82-2.86, 3 In 2.82-2.97
Pd 0.0512 0.6150 0.8858  3 In 2.65-2.74, 4 Pd 2.73-2.87, 1 Hg 2.81
Pd 0.5637 0.6150 0.8858  3 In 2.65-2.74, 4 Pd 2.73-2.87, 1 Hg 2.81
Pd 0.0965 0.6872 0.3940  4 In 2.70-2.75, 5 Pd 2.77-2.96
Pd 0.5908 0.6872 0.3940  4 In 2.70-2.75, 5 Pd 2.77-2.96
Pd 0.4876 0.9751 0.6387  2 In 2.65-2.68, 3 Pd 2.67-2.96
Pd 0.5124 0.0249 0.3613  2 In 2.65-2.68, 3 Pd 2.67-2.96
Pd 0.9035 0.3128 0.6060  4 In 2.70-2.75, 5 Pd 2.77-2.96
Pd 0.4092 0.3128 0.6060  4 In 2.70-2.75, 5 Pd 2.77-2.96
Pd 0.9488 0.3850 0.1142  3 In 2.65-2.74, 4 Pd 2.73-2.87, 1 Hg 2.81
Pd 0.4363 0.3850 0.1142  3 In 2.65-2.74, 4 Pd 2.73-2.87, 1 Hg 2.81
Pd 0.8795 0.7589 0.6789  4 Pd 2.82-2.86, 3 In 2.82-2.97

(7)
InHgPd4: optimized geometry, GGA-PBE.

Computed properties:
E_form: -28.8 kJ/mol of atoms
electronic total energy: -4.268 eV per atom
symmetry: C2/m, No. 12
volume: 17.05 Å³/atom
theoretical density: 12.03 g cm⁻³

a = 3.0513 Å, b = 5.0094 Å, c = 7.3823 Å
α = 98.78°, β = 78.07°, γ = 72.27°
With the nearest neighbours (Å) after each atom.
Sites, in units of the cell vectors:
In 0.5000 0.5000 0.5000  10 Pd 2.81-2.94, 2 In 3.05
Hg 0.0000 0.0000 0.0000  10 Pd 2.86-2.91, 2 Hg 3.05
Pd 0.8389 0.4941 0.8282  2 In 2.82, 7 Pd 2.86-3.05, 3 Hg 2.88-2.91
Pd 0.3265 0.0099 0.3370  3 In 2.81-2.94, 7 Pd 2.83-3.05, 2 Hg 2.86
Pd 0.1611 0.5059 0.1718  2 In 2.82, 7 Pd 2.86-3.05, 3 Hg 2.88-2.91
Pd 0.6735 0.9901 0.6630  3 In 2.81-2.94, 7 Pd 2.83-3.05, 2 Hg 2.86

(8)
In2Hg2Pd: optimized geometry, GGA-PBE.

Computed properties:
E_form: 26.9 kJ/mol of atoms
electronic total energy: -1.976 eV per atom
symmetry: I4/mmm, No. 139
volume: 25.00 Å³/atom
theoretical density: 9.79 g cm⁻³

a = 4.0521 Å, b = 4.0521 Å, c = 8.1336 Å
α = 75.58°, β = 75.58°, γ = 90.00°
With the nearest neighbours (Å) after each atom.
Sites, in units of the cell vectors:
Hg 0.4092 0.4092 0.1815  1 Hg 2.76
Hg 0.5908 0.5908 0.8185  1 Hg 2.76
Pd 0.0000 0.0000 0.0000  8 Hg 3.18
In 0.7500 0.2500 0.5000  4 In 2.87, 4 Hg 3.16
In 0.2500 0.7500 0.5000  4 In 2.87, 4 Hg 3.16

(9)
InHg5Pd6: optimized geometry, GGA-PBE.

Computed properties:
E_form: -21.3 kJ/mol of atoms
electronic total energy: -3.171 eV per atom
symmetry: P2/m, No. 10
volume: 18.05 Å³/atom
theoretical density: 13.47 g cm⁻³

a = 4.9055 Å, b = 6.1532 Å, c = 7.2237 Å
α = 90.00°, β = 83.38°, γ = 90.00°
With the nearest neighbours (Å) after each atom.
Sites, in units of the cell vectors:
Hg 0.6655 0.5000 0.6654  8 Pd 2.90-2.93, 4 Hg 3.04-3.08
Hg 0.3327 0.0000 0.3377  8 Pd 2.88-2.90, 3 Hg 3.01-3.08, 1 In 3.09
Hg 0.0000 0.5000 0.0000  8 Pd 2.86-2.92, 2 Hg 3.07, 2 In 3.08
Hg 0.6673 0.0000 0.6623  8 Pd 2.88-2.90, 3 Hg 3.01-3.08, 1 In 3.09
Hg 0.3345 0.5000 0.3346  8 Pd 2.90-2.93, 4 Hg 3.04-3.08
Pd 0.8364 0.7524 0.3272  1 In 2.85, 7 Hg 2.86-2.93, 4 Pd 3.03-3.12
Pd 0.8364 0.2476 0.3272  1 In 2.85, 7 Hg 2.86-2.93, 4 Pd 3.03-3.12
Pd 0.5000 0.2433 0.0000  2 In 2.87, 6 Hg 2.90-2.92, 4 Pd 2.99-3.16
Pd 0.5000 0.7567 0.0000  2 In 2.87, 6 Hg 2.90-2.92, 4 Pd 2.99-3.16
Pd 0.1636 0.7524 0.6728  1 In 2.85, 7 Hg 2.86-2.93, 4 Pd 3.03-3.12
Pd 0.1636 0.2476 0.6728  1 In 2.85, 7 Hg 2.86-2.93, 4 Pd 3.03-3.12
In 0.0000 0.0000 0.0000  8 Pd 2.85-2.87, 4 Hg 3.08-3.09

(10)
In4HgPd5: optimized geometry, GGA-PBE.

Computed properties:
E_form: -41.7 kJ/mol of atoms
electronic total energy: -4.155 eV per atom
symmetry: P4/mmm, No. 123
volume: 17.99 Å³/atom
theoretical density: 11.00 g cm⁻³

a = 3.3055 Å, b = 3.3055 Å, c = 16.4648 Å
α = 90.00°, β = 90.00°, γ = 90.00°
With the nearest neighbours (Å) after each atom.
Sites, in units of the cell vectors:
In 0.0000 0.0000 0.2012  8 Pd 2.80-2.86
In 0.0000 0.0000 0.4007  8 Pd 2.85-2.86
In 0.0000 0.0000 0.5993  8 Pd 2.85-2.86
In 0.0000 0.0000 0.7988  8 Pd 2.80-2.86
Hg 0.0000 0.0000 0.0000  8 Pd 2.93
Pd 0.5000 0.5000 0.1071  4 In 2.80, 4 Hg 2.93
Pd 0.5000 0.5000 0.3009  8 In 2.86, 1 Pd 3.19
Pd 0.5000 0.5000 0.5000  8 In 2.85
Pd 0.5000 0.5000 0.6991  8 In 2.86, 1 Pd 3.19
Pd 0.5000 0.5000 0.8929  4 In 2.80, 4 Hg 2.93

(11)
In2Hg2Pd: optimized geometry, GGA-PBE.

Computed properties:
E_form: 5.9 kJ/mol of atoms
electronic total energy: -2.194 eV per atom
symmetry: P4/mbm, No. 127
volume: 23.87 Å³/atom
theoretical density: 10.26 g cm⁻³

a = 7.3461 Å, b = 7.3461 Å, c = 4.4235 Å
α = 90.00°, β = 90.00°, γ = 90.00°
With the nearest neighbours (Å) after each atom.
Sites, in units of the cell vectors:
Hg 0.3542 0.8542 0.0000  2 Pd 2.81, 2 In 2.92, 1 Hg 3.03
Hg 0.8542 0.6458 0.0000  2 Pd 2.81, 2 In 2.92, 1 Hg 3.03
Hg 0.6458 0.1458 0.0000  2 Pd 2.81, 2 In 2.92, 1 Hg 3.03
Hg 0.1458 0.3542 0.0000  2 Pd 2.81, 2 In 2.92, 1 Hg 3.03
Pd 0.0000 0.0000 0.0000  4 Hg 2.81
Pd 0.5000 0.5000 0.0000  4 Hg 2.81
In 0.1704 0.6704 0.5000  6 Hg 2.92-3.21
In 0.6704 0.8296 0.5000  6 Hg 2.92-3.21
In 0.8296 0.3296 0.5000  6 Hg 2.92-3.21
In 0.3296 0.1704 0.5000  6 Hg 2.92-3.21

(12)
InHgPd2: optimized geometry, GGA-PBE.

Computed properties:
E_form: -23.8 kJ/mol of atoms
electronic total energy: -3.603 eV per atom
symmetry: R3m, No. 160
volume: 18.83 Å³/atom
theoretical density: 11.64 g cm⁻³

a = 3.1843 Å, b = 3.1843 Å, c = 8.7732 Å
α = 79.54°, β = 79.54°, γ = 60.00°
With the nearest neighbours (Å) after each atom.
Sites, in units of the cell vectors:
In 0.6667 0.6667 0.9998  6 Pd 2.76
Hg 0.4999 0.4999 0.5004  6 Pd 2.88-2.89, 6 Hg 3.18
Pd 0.0802 0.0802 0.7594  3 In 2.76, 3 Hg 2.88
Pd 0.2532 0.2532 0.2404  3 In 2.76, 3 Hg 2.89

Please write out number 6 again, unchanged.
In5Hg2Pd12: optimized geometry, GGA-PBE.

Computed properties:
E_form: -21.5 kJ/mol of atoms
electronic total energy: -4.255 eV per atom
symmetry: C2/m, No. 12
volume: 19.65 Å³/atom
theoretical density: 10.02 g cm⁻³

a = 5.6069 Å, b = 8.1668 Å, c = 9.1256 Å
α = 106.84°, β = 90.00°, γ = 110.08°
With the nearest neighbours (Å) after each atom.
Sites, in units of the cell vectors:
In 0.3122 0.6243 0.6337  9 Pd 2.68-2.97
In 0.3519 0.7039 0.1425  7 Pd 2.65-2.74
In 0.0000 0.0000 0.5000  6 Pd 2.70-2.82
In 0.6481 0.2961 0.8575  7 Pd 2.65-2.74
In 0.6878 0.3757 0.3663  9 Pd 2.68-2.97
Hg 0.7540 0.0000 0.0000  2 Hg 2.76-2.85, 2 Pd 2.81
Hg 0.2460 0.0000 0.0000  2 Hg 2.76-2.85, 2 Pd 2.81
Pd 0.1205 0.2411 0.3211  4 Pd 2.82-2.86, 3 In 2.82-2.97
Pd 0.0512 0.6150 0.8858  3 In 2.65-2.74, 4 Pd 2.73-2.87, 1 Hg 2.81
Pd 0.5637 0.6150 0.8858  3 In 2.65-2.74, 4 Pd 2.73-2.87, 1 Hg 2.81
Pd 0.0965 0.6872 0.3940  4 In 2.70-2.75, 5 Pd 2.77-2.96
Pd 0.5908 0.6872 0.3940  4 In 2.70-2.75, 5 Pd 2.77-2.96
Pd 0.4876 0.9751 0.6387  2 In 2.65-2.68, 3 Pd 2.67-2.96
Pd 0.5124 0.0249 0.3613  2 In 2.65-2.68, 3 Pd 2.67-2.96
Pd 0.9035 0.3128 0.6060  4 In 2.70-2.75, 5 Pd 2.77-2.96
Pd 0.4092 0.3128 0.6060  4 In 2.70-2.75, 5 Pd 2.77-2.96
Pd 0.9488 0.3850 0.1142  3 In 2.65-2.74, 4 Pd 2.73-2.87, 1 Hg 2.81
Pd 0.4363 0.3850 0.1142  3 In 2.65-2.74, 4 Pd 2.73-2.87, 1 Hg 2.81
Pd 0.8795 0.7589 0.6789  4 Pd 2.82-2.86, 3 In 2.82-2.97

electronic total energy of number 5 (In2Hg2Pd7)?
-3.867 eV per atom